DFT (PBE) results for an optimized crystal structure of MnV3Tc2.

Total magnetic moment in μB/atom: 0.000
DFT formation energy in eV/atom: -0.318

Lattice parameters (Å, degrees): 2.9850 2.9850 8.9157 90.00 90.00 90.00
Fractional coordinates of all 6 atoms:
Mn  0.0000  0.0000  0.0000
V  0.5000  0.5000  0.1592
V  0.5000  0.5000  0.5000
V  0.5000  0.5000  0.8408
Tc  0.0000  0.0000  0.3291
Tc  0.0000  0.0000  0.6709